TaIrIO2 at its PBEsol-relaxed geometry, computed with meta-GGA SCAN.

a b c (Å): 3.8259 3.8259 6.0832
angles (deg): 90.00 90.00 90.00
Space group P4/mmm (No. 123)
Symmetry-distinct sites (fractional):
Ta1 0.0000 0.0000 0.0000
Ir1 0.5000 0.5000 0.5000
I1 0.0000 0.0000 0.5000
O1 0.0000 0.5000 0.0000

TlIrI2O at its PBEsol-relaxed geometry, computed with meta-GGA SCAN.

a b c (Å): 5.8589 5.8589 3.9245
angles (deg): 90.00 90.00 90.00
Space group P4/mmm (No. 123)
Symmetry-distinct sites (fractional):
Tl1 0.0000 0.0000 0.0000
Ir1 0.5000 0.5000 0.5000
I1 0.0000 0.5000 0.0000
O1 0.0000 0.0000 0.5000

IrWI2O at its PBEsol-relaxed geometry, computed with meta-GGA SCAN.

a b c (Å): 5.2907 5.2907 3.7049
angles (deg): 90.00 90.00 90.00
Space group P4/mmm (No. 123)
Symmetry-distinct sites (fractional):
Ir1 0.0000 0.0000 0.0000
W1 0.5000 0.5000 0.5000
I1 0.0000 0.5000 0.5000
O1 0.5000 0.5000 0.0000

YIrI2O at its PBEsol-relaxed geometry, computed with meta-GGA SCAN.

a b c (Å): 5.5778 5.5778 3.7547
angles (deg): 90.00 90.00 90.00
Space group P4/mmm (No. 123)
Symmetry-distinct sites (fractional):
Y1 0.0000 0.0000 0.0000
Ir1 0.5000 0.5000 0.5000
I1 0.0000 0.5000 0.5000
O1 0.5000 0.5000 0.0000

Ir2OsI at its PBEsol-relaxed geometry, computed with meta-GGA SCAN.

a b c (Å): 6.3949 6.3949 6.3949
angles (deg): 90.00 90.00 90.00
Space group Fm-3m (No. 225)
Symmetry-distinct sites (fractional):
Ir1 0.2500 0.2500 0.2500
Os1 0.0000 0.0000 0.0000
I1 0.0000 0.0000 0.5000

IrOsI3 at its PBEsol-relaxed geometry, computed with meta-GGA SCAN.

a b c (Å): 5.1997 5.1997 5.1997
angles (deg): 90.00 90.00 90.00
Space group Pm-3m (No. 221)
Symmetry-distinct sites (fractional):
Ir1 0.0000 0.0000 0.0000
Os1 0.5000 0.5000 0.5000
I1 0.0000 0.5000 0.5000

IrOsSe2I at its PBEsol-relaxed geometry, computed with meta-GGA SCAN.

a b c (Å): 4.6041 4.6041 5.5164
angles (deg): 90.00 90.00 90.00
Space group P4/mmm (No. 123)
Symmetry-distinct sites (fractional):
Ir1 0.0000 0.0000 0.0000
Os1 0.5000 0.5000 0.5000
Se1 0.0000 0.5000 0.5000
I1 0.5000 0.5000 0.0000

TeIrOsI2 at its PBEsol-relaxed geometry, computed with meta-GGA SCAN.

a b c (Å): 5.2965 5.2965 5.0560
angles (deg): 90.00 90.00 90.00
Space group P4/mmm (No. 123)
Symmetry-distinct sites (fractional):
Te1 0.0000 0.0000 0.0000
Ir1 0.0000 0.0000 0.5000
Os1 0.5000 0.5000 0.0000
I1 0.0000 0.5000 0.5000

no.,density of states at the Fermi level (states/eV/f.u.),formation energy without anion corrections (eV per atom),ρ (g cm⁻³)
1,2.68,-0.764,9.923
2,3.77,1.069,8.214
3,3.89,0.748,10.342
4,3.42,-0.361,7.831
5,6.79,1.489,17.819
6,6.50,1.783,9.014
7,4.88,1.512,9.476
8,3.76,1.631,8.943